Hg2RuBr: relaxed, PBE.

Computed properties:
As for the space group: I-42d (122). For the volume, the calculation gives 191.5 Å³/cell. The total energy comes out at -2.1598 eV/atom.

Unit cell a=4.3370 b=4.3370 c=10.6321 alpha=78.23 beta=78.23 gamma=90.00
Fractional coordinates of all 8 atoms:
Br (0.2500, 0.7500, 0.5000)
Br (0.5000, 0.5000, 0.0000)
Hg (0.8750, 0.9095, 0.7500)
Hg (0.3750, 0.3405, 0.7500)
Hg (0.6595, 0.1250, 0.2500)
Hg (0.0905, 0.6250, 0.2500)
Ru (0.7500, 0.2500, 0.5000)
Ru (0.0000, 0.0000, 0.0000)